This record from Alexandria via LeMat-Bulk describes a PBEsol-optimized structure of Li4Mn3NiO8. The functional is SCAN.

Summary:
energy relative to the elements, uncorrected	-2.13	eV/atom

Structure (POSCAR):
```
Li4Mn3NiO8
1.0
-1.677 -5.125 -2.044
2.541 0.490 5.153
-3.908 3.764 1.567
Li Mn Ni O
4 3 1 8
direct
0.500 0.500 0.500
0.500 0.500 0.000
0.000 0.000 0.000
0.000 0.000 0.500
0.500 0.000 0.000
0.000 0.500 0.500
0.000 0.500 0.000
0.500 0.000 0.500
0.983 0.258 0.242
0.479 0.750 0.750
0.479 0.750 0.229
0.001 0.271 0.750
0.999 0.729 0.250
0.521 0.250 0.771
0.521 0.250 0.250
0.017 0.742 0.758
```